Entry 1:
The following is a GGA-PBE calculation of a relaxed structure of CsInP2O, from the Alexandria database.

a b c (Å): 5.891 5.891 4.547
angles (deg): 90.00 90.00 90.00
Positions (direct):
1 Cs 0.000 0.000 0.000
2 In 0.500 0.500 0.500
3 P 0.000 0.500 0.000
4 P 0.500 0.000 0.000
5 O 0.000 0.000 0.500

Calculated values
The value obtained for the formation energy from raw total energies is 1302.1 meV per atom.

Entry 2:
The following is a GGA-PBE calculation of a relaxed structure of Cs2PaInO6, from the Alexandria database.

a b c (Å): 4.464 4.464 8.754
angles (deg): 90.00 90.00 90.00
Positions (direct):
1 Cs 0.000 0.000 0.239
2 Cs 0.000 0.000 0.761
3 Pa 0.500 0.500 0.500
4 In 0.500 0.500 0.000
5 O 0.000 0.500 0.000
6 O 0.000 0.500 0.500
7 O 0.500 0.000 0.000
8 O 0.500 0.000 0.500
9 O 0.500 0.500 0.258
10 O 0.500 0.500 0.742

Calculated values
The value obtained for the formation energy from raw total energies is -1941.4 meV per atom.

Entry 3:
The following is a GGA-PBE calculation of a relaxed structure of Cs2Pa3InO12, from the Alexandria database.

a b c (Å): 7.918 7.918 7.918
angles (deg): 62.24 62.24 62.24
Positions (direct):
1 Cs 0.136 0.136 0.136
2 Cs 0.864 0.864 0.864
3 Pa 0.000 0.500 0.500
4 Pa 0.500 0.000 0.500
5 Pa 0.500 0.500 0.000
6 In 0.500 0.500 0.500
7 O 0.182 0.564 0.564
8 O 0.185 0.185 0.554
9 O 0.185 0.554 0.185
10 O 0.436 0.436 0.818
11 O 0.436 0.818 0.436
12 O 0.446 0.815 0.815
13 O 0.554 0.185 0.185
14 O 0.564 0.182 0.564
15 O 0.564 0.564 0.182
16 O 0.815 0.446 0.815
17 O 0.815 0.815 0.446
18 O 0.818 0.436 0.436

Calculated values
The value obtained for the formation energy from raw total energies is -2435.1 meV per atom.

Entry 4:
The following is a GGA-PBE calculation of a relaxed structure of CsPa2InO8, from the Alexandria database.

a b c (Å): 5.014 5.014 8.271
angles (deg): 90.00 90.00 91.30
Positions (direct):
1 Cs 0.000 0.000 0.000
2 Pa 0.500 0.500 0.288
3 Pa 0.500 0.500 0.712
4 In 0.000 0.000 0.500
5 O 0.215 0.215 0.304
6 O 0.215 0.215 0.696
7 O 0.311 0.689 0.500
8 O 0.397 0.603 0.000
9 O 0.603 0.397 0.000
10 O 0.689 0.311 0.500
11 O 0.785 0.785 0.304
12 O 0.785 0.785 0.696

Calculated values
The value obtained for the formation energy from raw total energies is -2486.0 meV per atom.

Entry 5:
The following is a GGA-PBE calculation of a relaxed structure of Cs4Pa3InO12, from the Alexandria database.

a b c (Å): 7.706 7.706 7.706
angles (deg): 109.47 109.47 109.47
Positions (direct):
1 Cs 0.000 0.000 0.500
2 Cs 0.000 0.500 0.000
3 Cs 0.500 0.000 0.000
4 Cs 0.500 0.500 0.500
5 Pa 0.000 0.500 0.500
6 Pa 0.500 0.000 0.500
7 Pa 0.500 0.500 0.000
8 In 0.000 0.000 0.000
9 O 0.000 0.260 0.260
10 O 0.000 0.740 0.740
11 O 0.250 0.500 0.750
12 O 0.250 0.750 0.500
13 O 0.260 0.000 0.260
14 O 0.260 0.260 0.000
15 O 0.500 0.250 0.750
16 O 0.500 0.750 0.250
17 O 0.740 0.000 0.740
18 O 0.740 0.740 0.000
19 O 0.750 0.250 0.500
20 O 0.750 0.500 0.250

Calculated values
The value obtained for the formation energy from raw total energies is -2508.5 meV per atom.

Entry 6:
The following is a GGA-PBE calculation of a relaxed structure of CsPaInO5, from the Alexandria database.

a b c (Å): 6.652 6.652 8.441
angles (deg): 105.44 105.44 105.69
Positions (direct):
1 Cs 0.172 0.828 0.750
2 Cs 0.828 0.172 0.250
3 Pa 0.500 0.500 0.000
4 Pa 0.500 0.500 0.500
5 In 0.192 0.808 0.250
6 In 0.808 0.192 0.750
7 O 0.149 0.289 0.893
8 O 0.231 0.607 0.400
9 O 0.289 0.149 0.393
10 O 0.393 0.769 0.100
11 O 0.454 0.546 0.750
12 O 0.546 0.454 0.250
13 O 0.607 0.231 0.900
14 O 0.711 0.851 0.607
15 O 0.769 0.393 0.600
16 O 0.851 0.711 0.107

Calculated values
The value obtained for the formation energy from raw total energies is -2221.4 meV per atom.

Entry 7:
The following is a GGA-PBE calculation of a relaxed structure of CsInPbO3, from the Alexandria database.

a b c (Å): 7.635 3.406 10.716
angles (deg): 90.00 100.35 90.00
Positions (direct):
1 Cs 0.151 0.250 0.197
2 Cs 0.849 0.750 0.803
3 In 0.367 0.750 0.895
4 In 0.633 0.250 0.105
5 Pb 0.192 0.250 0.579
6 Pb 0.808 0.750 0.421
7 O 0.109 0.750 0.435
8 O 0.191 0.250 0.834
9 O 0.434 0.750 0.100
10 O 0.566 0.250 0.900
11 O 0.809 0.750 0.166
12 O 0.891 0.250 0.565

Calculated values
The value obtained for the formation energy from raw total energies is -1277.0 meV per atom.

Entry 8:
The following is a GGA-PBE calculation of a relaxed structure of Cs3Pm3InO8, from the Alexandria database.

a b c (Å): 8.108 8.108 8.108
angles (deg): 52.73 52.73 52.73
Positions (direct):
1 Cs 0.000 0.500 0.500
2 Cs 0.500 0.000 0.500
3 Cs 0.500 0.500 0.000
4 Pm 0.000 0.000 0.500
5 Pm 0.000 0.500 0.000
6 Pm 0.500 0.000 0.000
7 In 0.500 0.500 0.500
8 O 0.221 0.221 0.221
9 O 0.236 0.713 0.713
10 O 0.287 0.287 0.764
11 O 0.287 0.764 0.287
12 O 0.713 0.236 0.713
13 O 0.713 0.713 0.236
14 O 0.764 0.287 0.287
15 O 0.779 0.779 0.779

Calculated values
The value obtained for the formation energy from raw total energies is -2233.5 meV per atom.

Entry 9:
The following is a GGA-PBE calculation of a relaxed structure of Cs3Pr2InO6, from the Alexandria database.

a b c (Å): 6.320 6.320 7.234
angles (deg): 98.35 98.35 120.00
Positions (direct):
1 Cs 0.000 0.000 0.000
2 Cs 0.335 0.665 0.000
3 Cs 0.665 0.335 0.000
4 Pr 0.167 0.833 0.500
5 Pr 0.833 0.167 0.500
6 In 0.500 0.500 0.500
7 O 0.126 0.443 0.331
8 O 0.238 0.238 0.671
9 O 0.443 0.126 0.331
10 O 0.557 0.874 0.669
11 O 0.762 0.762 0.329
12 O 0.874 0.557 0.669

Calculated values
The value obtained for the formation energy from raw total energies is -2077.8 meV per atom.

Entry 10:
The following is a GGA-PBE calculation of a relaxed structure of Cs2PrInO4, from the Alexandria database.

a b c (Å): 6.541 6.541 6.541
angles (deg): 120.79 120.79 88.64
Positions (direct):
1 Cs 0.000 0.000 0.000
2 Cs 0.750 0.250 0.500
3 Pr 0.500 0.500 0.000
4 In 0.250 0.750 0.500
5 O 0.234 0.631 0.126
6 O 0.369 0.495 0.602
7 O 0.505 0.107 0.874
8 O 0.893 0.766 0.398

Calculated values
The value obtained for the formation energy from raw total energies is -1959.9 meV per atom.

Entry 11:
The following is a GGA-PBE calculation of a relaxed structure of Cs2InPtO4, from the Alexandria database.

a b c (Å): 13.365 11.694 7.820
angles (deg): 83.95 60.47 35.58
Positions (direct):
1 Cs 0.052 0.052 0.698
2 Cs 0.302 0.302 0.948
3 Cs 0.698 0.698 0.052
4 Cs 0.948 0.948 0.302
5 In 0.125 0.125 0.125
6 In 0.875 0.875 0.875
7 Pt 0.375 0.375 0.375
8 Pt 0.625 0.625 0.625
9 O 0.044 0.704 0.519
10 O 0.234 0.519 0.704
11 O 0.296 0.956 0.766
12 O 0.481 0.766 0.956
13 O 0.519 0.234 0.044
14 O 0.704 0.044 0.234
15 O 0.766 0.481 0.296
16 O 0.956 0.296 0.481

Calculated values
The value obtained for the formation energy from raw total energies is -1023.3 meV per atom.

Entry 12:
The following is a GGA-PBE calculation of a relaxed structure of Cs2Pu3InO12, from the Alexandria database.

a b c (Å): 7.676 7.676 7.676
angles (deg): 62.28 62.28 62.28
Positions (direct):
1 Cs 0.124 0.124 0.124
2 Cs 0.876 0.876 0.876
3 Pu 0.000 0.500 0.500
4 Pu 0.500 0.000 0.500
5 Pu 0.500 0.500 0.000
6 In 0.500 0.500 0.500
7 O 0.171 0.568 0.568
8 O 0.187 0.187 0.567
9 O 0.187 0.567 0.187
10 O 0.432 0.432 0.829
11 O 0.432 0.829 0.432
12 O 0.433 0.813 0.813
13 O 0.567 0.187 0.187
14 O 0.568 0.171 0.568
15 O 0.568 0.568 0.171
16 O 0.813 0.433 0.813
17 O 0.813 0.813 0.433
18 O 0.829 0.432 0.432

Calculated values
The value obtained for the formation energy from raw total energies is -2284.7 meV per atom.

Entry 13:
The following is a GGA-PBE calculation of a relaxed structure of CsPuInO6, from the Alexandria database.

a b c (Å): 5.636 5.636 6.712
angles (deg): 90.00 90.00 120.00
Positions (direct):
1 Cs 0.000 0.000 0.000
2 Pu 0.667 0.333 0.500
3 In 0.333 0.667 0.500
4 O 0.399 0.028 0.671
5 O 0.399 0.371 0.329
6 O 0.629 0.028 0.329
7 O 0.629 0.601 0.671
8 O 0.972 0.371 0.671
9 O 0.972 0.601 0.329

Calculated values
The value obtained for the formation energy from raw total energies is -1780.5 meV per atom.

Entry 14:
The following is a GGA-PBE calculation of a relaxed structure of CsInRe2O8, from the Alexandria database.

a b c (Å): 6.330 6.330 8.990
angles (deg): 90.00 90.00 120.00
Positions (direct):
1 Cs 0.000 0.000 0.000
2 In 0.000 0.000 0.500
3 Re 0.333 0.667 0.780
4 Re 0.667 0.333 0.220
5 O 0.173 0.363 0.717
6 O 0.190 0.827 0.717
7 O 0.333 0.667 0.975
8 O 0.363 0.190 0.283
9 O 0.637 0.810 0.717
10 O 0.667 0.333 0.025
11 O 0.810 0.173 0.283
12 O 0.827 0.637 0.283

Calculated values
The value obtained for the formation energy from raw total energies is -1670.9 meV per atom.

Entry 15:
The following is a GGA-PBE calculation of a relaxed structure of CsInS2O10, from the Alexandria database.

a b c (Å): 9.183 9.183 6.990
angles (deg): 99.85 99.85 117.93
Positions (direct):
1 Cs 0.106 0.894 0.750
2 Cs 0.894 0.106 0.250
3 In 0.300 0.700 0.250
4 In 0.700 0.300 0.750
5 S 0.113 0.409 0.810
6 S 0.409 0.113 0.310
7 S 0.591 0.887 0.690
8 S 0.887 0.591 0.190
9 O 0.068 0.652 0.321
10 O 0.099 0.311 0.961
11 O 0.190 0.597 0.919
12 O 0.203 0.382 0.669
13 O 0.311 0.099 0.461
14 O 0.313 0.471 0.276
15 O 0.348 0.932 0.179
16 O 0.382 0.203 0.169
17 O 0.403 0.810 0.581
18 O 0.471 0.313 0.776
19 O 0.529 0.687 0.224
20 O 0.597 0.190 0.419
21 O 0.618 0.797 0.831
22 O 0.652 0.068 0.821
23 O 0.687 0.529 0.724
24 O 0.689 0.901 0.539
25 O 0.797 0.618 0.331
26 O 0.810 0.403 0.081
27 O 0.901 0.689 0.039
28 O 0.932 0.348 0.679

Calculated values
The value obtained for the formation energy from raw total energies is -978.9 meV per atom.

Entry 16:
The following is a GGA-PBE calculation of a relaxed structure of Cs2In2Sb2O, from the Alexandria database.

a b c (Å): 4.532 7.530 8.714
angles (deg): 67.24 74.95 72.77
Positions (direct):
1 Cs 0.026 0.203 0.241
2 Cs 0.974 0.797 0.759
3 In 0.331 0.694 0.146
4 In 0.669 0.306 0.854
5 Sb 0.278 0.362 0.580
6 Sb 0.722 0.638 0.420
7 O 0.500 0.500 0.000

Calculated values
The value obtained for the formation energy from raw total energies is -554.3 meV per atom.

Entry 17:
The following is a GGA-PBE calculation of a relaxed structure of Cs2ScInO4, from the Alexandria database.

a b c (Å): 12.842 11.342 7.226
angles (deg): 84.42 61.52 34.06
Positions (direct):
1 Cs 0.051 0.051 0.699
2 Cs 0.301 0.301 0.949
3 Cs 0.699 0.699 0.051
4 Cs 0.949 0.949 0.301
5 Sc 0.125 0.125 0.125
6 Sc 0.875 0.875 0.875
7 In 0.375 0.375 0.375
8 In 0.625 0.625 0.625
9 O 0.018 0.322 0.399
10 O 0.239 0.601 0.678
11 O 0.322 0.018 0.761
12 O 0.399 0.761 0.018
13 O 0.601 0.239 0.982
14 O 0.678 0.982 0.239
15 O 0.761 0.399 0.322
16 O 0.982 0.678 0.601

Calculated values
The value obtained for the formation energy from raw total energies is -1906.5 meV per atom.

Entry 18:
The following is a GGA-PBE calculation of a relaxed structure of Cs2InSe2O6, from the Alexandria database.

a b c (Å): 8.674 8.674 8.674
angles (deg): 42.67 42.67 42.67
Positions (direct):
1 Cs 0.237 0.237 0.237
2 Cs 0.763 0.763 0.763
3 In 0.500 0.500 0.500
4 Se 0.079 0.079 0.079
5 Se 0.921 0.921 0.921
6 O 0.186 0.745 0.745
7 O 0.255 0.255 0.814
8 O 0.255 0.814 0.255
9 O 0.745 0.186 0.745
10 O 0.745 0.745 0.186
11 O 0.814 0.255 0.255

Calculated values
The value obtained for the formation energy from raw total energies is -1133.9 meV per atom.